Entry 1:
## CsBa3Cu4I12 (PBE-GGA)

Data for an optimized crystal structure of CsBa3Cu4I12.

a = 10.5840 Å, b = 10.5840 Å, c = 10.5840 Å
α = 103.29°, β = 103.29°, γ = 103.29°
Closest atoms and distances in Å follow each position.
Fractional positions:
I1 0.0133 0.6449 0.7925  1 Cu 2.51
I2 0.3551 0.9867 0.2075  1 Cu 2.51
I3 0.7925 0.0133 0.6449  1 Cu 2.51
I4 0.9867 0.2075 0.3551  1 Cu 2.51
I5 0.1015 0.8985 0.5000  1 Cu 2.59
I6 0.2075 0.3551 0.9867  1 Cu 2.51
I7 0.5000 0.1015 0.8985  1 Cu 2.59
I8 0.3480 0.6520 0.5000  1 Cu 2.52
I9 0.6449 0.7925 0.0133  1 Cu 2.51
I10 0.6520 0.5000 0.3480  1 Cu 2.52
I11 0.5000 0.3480 0.6520  1 Cu 2.52
I12 0.8985 0.5000 0.1015  1 Cu 2.59
Cu1 0.5000 0.9455 0.0545  3 I 2.51-2.59
Cu2 0.5000 0.5000 0.5000  3 I 2.52
Cu3 0.0545 0.5000 0.9455  3 I 2.51-2.59
Cu4 0.9455 0.0545 0.5000  3 I 2.51-2.59
Cs1 0.0000 0.0000 0.0000  6 I 3.94
Ba1 0.0000 0.5449 0.4551  6 I 3.44-3.53
Ba2 0.4551 0.0000 0.5449  6 I 3.44-3.53
Ba3 0.5449 0.4551 0.0000  6 I 3.44-3.53

Calculated volume = 1071.7 Å³/cell
Uncorrected formation energy = -0.958 eV/atom
Fermi-level density of states = 0.741 states/eV/atom



Entry 2:
## Cs2BaCuI5 (PBE-GGA)

Data for an optimized crystal structure of Cs2BaCuI5.

a = 4.9203 Å, b = 11.4786 Å, c = 16.3099 Å
α = 90.00°, β = 90.00°, γ = 102.38°
Closest atoms and distances in Å follow each position.
Fractional positions:
I1 0.5034 0.0069 0.7722  1 Cu 2.60
I2 0.3169 0.6338 0.3804  1 Cu 2.70
I3 0.6608 0.3217 0.5207  1 Ba 3.42
I4 0.3050 0.6101 0.6818  2 Ba 3.47
I5 0.0387 0.0774 0.9828  2 Cu 2.81
I6 0.6950 0.3899 0.1818  2 Ba 3.47
I7 0.6831 0.3662 0.8804  1 Cu 2.70
I8 0.9613 0.9226 0.4828  2 Cu 2.81
I9 0.3392 0.6783 0.0207  1 Ba 3.42
I10 0.4966 0.9931 0.2722  1 Cu 2.60
Ba1 0.1869 0.3738 0.0326  6 I 3.42-3.50
Ba2 0.8131 0.6262 0.5326  6 I 3.42-3.50
Cs1 0.8791 0.7582 0.1967  7 I 3.81-4.14
Cs2 0.1152 0.2303 0.3488  7 I 3.83-4.08
Cs3 0.1209 0.2418 0.6967  7 I 3.81-4.14
Cs4 0.8848 0.7697 0.8488  7 I 3.83-4.08
Cu1 0.5643 0.1286 0.9079  4 I 2.60-2.81
Cu2 0.4357 0.8714 0.4079  4 I 2.60-2.81

Calculated volume = 899.7 Å³/cell
Uncorrected formation energy = -1.305 eV/atom
Fermi-level density of states = 0.000 states/eV/atom



Entry 3:
## CsBaCuI4 (PBE-GGA)

Data for an optimized crystal structure of CsBaCuI4.

a = 7.5891 Å, b = 8.1825 Å, c = 10.6783 Å
α = 90.00°, β = 110.25°, γ = 90.00°
Closest atoms and distances in Å follow each position.
Fractional positions:
Cs1 0.2531 0.2500 0.0614  8 I 3.85-4.24
Cs2 0.7469 0.7500 0.9386  8 I 3.85-4.24
I1 0.4106 0.7500 0.5733  1 Cu 2.64
I2 0.0199 0.5060 0.7273  1 Cu 2.65
I3 0.3872 0.7500 0.1458  1 Cu 2.63
I4 0.5894 0.2500 0.4267  1 Cu 2.64
I5 0.9801 0.4940 0.2727  1 Cu 2.65
I6 0.9801 0.0060 0.2727  1 Cu 2.65
I7 0.6128 0.2500 0.8542  1 Cu 2.63
I8 0.0199 0.9940 0.7273  1 Cu 2.65
Cu1 0.2072 0.7500 0.3166  4 I 2.63-2.65
Cu2 0.7928 0.2500 0.6834  4 I 2.63-2.65
Ba1 0.7674 0.7500 0.4443  6 I 3.44-3.57
Ba2 0.2326 0.2500 0.5557  6 I 3.44-3.57

Calculated volume = 622.1 Å³/cell
Uncorrected formation energy = -1.261 eV/atom
Fermi-level density of states = 0.000 states/eV/atom